Compound: CoTeN2F
Source: Alexandria
Functional: PBE+U
Structure: relaxed

```
CoTeN2F
1.0
4.1759 0.0000 0.0000
0.0000 4.1759 0.0000
0.0000 0.0000 4.2115
Co Te N F
1 1 2 1
direct
0.0000 0.0000 0.0000
0.5000 0.5000 0.0000
0.0000 0.5000 0.5000
0.5000 0.0000 0.5000
0.5000 0.5000 0.5000
```

Magnetic moment in μB per formula unit: 4.65
Distance to the lowest polymorph of the same formula in meV/atom: 1424.9